# 1
An optimized crystal structure of K3AcEr2O6, computed with PBE.

Cell and atoms, written as extended XYZ:
```
12
Lattice="3.570 0.000 0.000 0.000 7.559 0.021 -1.785 -2.430 7.802" Properties=species:S:1:pos:R:3 pbc="T T T"
K 1.785 3.779 0.011
K 1.785 -0.306 5.140
K 0.000 5.435 2.683
Ac 1.785 0.000 0.000
Er 1.785 3.365 5.149
Er 0.000 1.764 2.674
O 0.000 4.878 5.308
O 1.785 3.244 2.876
O 1.785 0.251 2.515
O 0.000 1.703 0.358
O 1.785 3.426 7.465
O 0.000 1.885 4.947
```

Summary:
- N(E_F) (states/eV/cell) = 0.000
- total energy (eV/atom) = -6.5425

***

# 2
An optimized crystal structure of K2AcErO4, computed with PBE.

Cell and atoms, written as extended XYZ:
```
8
Lattice="3.648 0.000 0.000 0.000 6.360 0.106 0.000 -2.231 6.272" Properties=species:S:1:pos:R:3 pbc="T T T"
K 1.824 -1.116 3.136
K 0.000 2.064 3.189
Ac 0.000 0.000 0.000
Er 1.824 3.180 0.053
O 1.824 1.200 1.224
O 1.824 2.929 5.154
O 0.000 0.018 5.131
O 0.000 4.110 1.247
```

Summary:
- N(E_F) (states/eV/cell) = 0.000
- total energy (eV/atom) = -6.4716

***

# 3
An optimized crystal structure of K3Ac2ErS6, computed with PBE.

Cell and atoms, written as extended XYZ:
```
12
Lattice="7.444 -0.002 -0.001 -3.722 6.447 -0.001 -1.243 -2.152 7.411" Properties=species:S:1:pos:R:3 pbc="T T T"
K -2.496 4.305 3.704
K 4.976 -0.011 3.704
K 1.240 2.147 3.704
Ac -0.001 4.298 -0.001
Ac 3.723 2.147 -0.001
Er 0.000 0.000 0.000
S 3.642 2.281 5.862
S 2.561 4.434 1.532
S -1.163 2.013 1.547
S 0.155 4.295 5.862
S -0.081 -0.141 5.876
S 2.325 -0.001 1.547
```

Summary:
- N(E_F) (states/eV/cell) = 0.000
- total energy (eV/atom) = -5.2792

***

# 4
An optimized crystal structure of K4Ac3ErS8, computed with PBE.

Cell and atoms, written as extended XYZ:
```
16
Lattice="8.663 0.000 0.000 0.000 8.945 0.188 -4.332 -4.327 6.129" Properties=species:S:1:pos:R:3 pbc="T T T"
K 4.332 0.000 0.000
K 2.166 -2.163 3.065
K 0.000 0.000 0.000
K -2.166 -2.163 3.065
Ac 4.332 4.472 0.094
Ac 2.166 2.309 3.159
Ac -2.166 2.309 3.159
Er 0.000 4.472 0.094
S -2.291 2.080 6.146
S 0.000 4.368 2.906
S 0.000 0.271 3.251
S 2.291 2.080 6.146
S 2.041 2.538 0.171
S 4.332 4.347 3.067
S 4.332 0.250 3.411
S 6.622 2.538 0.171
```

Summary:
- N(E_F) (states/eV/cell) = 0.000
- total energy (eV/atom) = -5.2659

***

Please write out number 1 again, unchanged.
An optimized crystal structure of K3AcEr2O6, computed with PBE.

Cell and atoms, written as extended XYZ:
```
12
Lattice="3.570 0.000 0.000 0.000 7.559 0.021 -1.785 -2.430 7.802" Properties=species:S:1:pos:R:3 pbc="T T T"
K 1.785 3.779 0.011
K 1.785 -0.306 5.140
K 0.000 5.435 2.683
Ac 1.785 0.000 0.000
Er 1.785 3.365 5.149
Er 0.000 1.764 2.674
O 0.000 4.878 5.308
O 1.785 3.244 2.876
O 1.785 0.251 2.515
O 0.000 1.703 0.358
O 1.785 3.426 7.465
O 0.000 1.885 4.947
```

Summary:
- N(E_F) (states/eV/cell) = 0.000
- total energy (eV/atom) = -6.5425

***

> The highest total energy belongs to which entry?

K4Ac3ErS8

***

Repeat the fourth record exactly.
An optimized crystal structure of K4Ac3ErS8, computed with PBE.

Cell and atoms, written as extended XYZ:
```
16
Lattice="8.663 0.000 0.000 0.000 8.945 0.188 -4.332 -4.327 6.129" Properties=species:S:1:pos:R:3 pbc="T T T"
K 4.332 0.000 0.000
K 2.166 -2.163 3.065
K 0.000 0.000 0.000
K -2.166 -2.163 3.065
Ac 4.332 4.472 0.094
Ac 2.166 2.309 3.159
Ac -2.166 2.309 3.159
Er 0.000 4.472 0.094
S -2.291 2.080 6.146
S 0.000 4.368 2.906
S 0.000 0.271 3.251
S 2.291 2.080 6.146
S 2.041 2.538 0.171
S 4.332 4.347 3.067
S 4.332 0.250 3.411
S 6.622 2.538 0.171
```

Summary:
- N(E_F) (states/eV/cell) = 0.000
- total energy (eV/atom) = -5.2659